# 1
The following is a GGA-PBE calculation of CaCe3S4 after structural relaxation, from Alexandria.

Results
Energy relative to the elements, uncorrected = -2024 meV per atom

Cell lengths 5.7070, 5.7070, 5.7070 Å; angles 90.00, 90.00, 90.00 degrees
Each line ends with the local moment (μB).
Atoms (fractional coordinates):
S (0.0000, 0.0000, 0.5000)  -0.02
S (0.5000, 0.5000, 0.5000)  -0.03
S (0.5000, 0.0000, 0.0000)  -0.02
S (0.0000, 0.5000, 0.0000)  -0.02
Ce (0.5000, 0.0000, 0.5000)  0.88
Ce (0.5000, 0.5000, 0.0000)  0.88
Ce (0.0000, 0.5000, 0.5000)  0.88
Ca (0.0000, 0.0000, 0.0000)  0.03

---

# 2
The following is a GGA-PBE calculation of MgCuRe after structural relaxation, from Alexandria.

Results
Polymorph energy (0 for the lowest one) = 671.0 meV per atom
Energy of formation from the pure elements = 0.92 eV/atom

Cell lengths 4.1704, 4.1704, 4.1704 Å; angles 60.00, 60.00, 60.00 degrees
Each line ends with the local moment (μB).
Atoms (fractional coordinates):
Cu (0.2500, 0.2500, 0.2500)  0.21
Re (0.5000, 0.5000, 0.5000)  1.67
Mg (0.0000, 0.0000, 0.0000)  -0.02

---

# 3
The following is a GGA-PBE calculation of Pm3PrDy2 after structural relaxation, from Alexandria.

Results
Polymorph energy (0 for the lowest one) = 129.3 meV per atom
Energy of formation from the pure elements = 0.15 eV/atom

Cell lengths 6.4786, 7.2980, 10.0497 Å; angles 111.31, 108.80, 90.00 degrees
Atoms (fractional coordinates):
Dy (0.6474, 0.6475, 0.2948)
Dy (0.6474, 0.1475, 0.2948)
Dy (0.3526, 0.3525, 0.7052)
Dy (0.3526, 0.8525, 0.7052)
Pm (0.8201, 0.0683, 0.6365)
Pm (0.1799, 0.9317, 0.3635)
Pm (0.7435, 0.7500, 0.0000)
Pm (0.8164, 0.5683, 0.6365)
Pm (0.2565, 0.2500, 0.0000)
Pm (0.1836, 0.4317, 0.3635)
Pr (0.7588, 0.2500, 0.0000)
Pr (0.2412, 0.7500, 0.0000)

---

For reference, VASP energy by record: -6.563 -5.131 -4.561 eV/atom.
For reference, density of states at the Fermi level by record: 15.7 1.3 18.8 states/eV per cell.